# AlSnO2

A relaxed AlSnO2 crystal (GGA-PBE, Alexandria via LeMat-Bulk).

POSCAR file:
```
AlSnO2
1.0
5.2546 0.0000 0.0000
0.0000 5.2546 0.0000
2.6273 2.6273 4.3433
O Al Sn
4 2 2
direct
0.8750 0.7223 0.7500
0.2777 0.6250 0.2500
0.4723 0.1250 0.2500
0.3750 0.5277 0.7500
0.2500 0.7500 0.5000
0.5000 0.5000 0.0000
0.0000 0.0000 0.0000
0.7500 0.2500 0.5000
```

Space-group type: I-42d
Magnetization: 0.00 μB per cell
Crystal system: tetragonal
Raw total energy: -6.267 eV/atom